[1]
Density functional theory data (GGA+U) for KV4O7 after structural relaxation.

Cell: 14.2131 5.7200 5.3131 Å, 90.00 90.00 90.00°
Space group Pmn2_1 (No. 31)
Inequivalent atoms, fractional coordinates:
K1 0.0000 0.1670 0.0000 (multiplicity 2)
V1 0.1188 0.6826 0.3899 (multiplicity 4)
V2 0.2477 0.1802 0.3813 (multiplicity 4)
O1 0.0000 0.7873 0.3079 (multiplicity 2)
O2 0.1382 0.7333 0.7288 (multiplicity 4)
O3 0.1420 0.3720 0.3200 (multiplicity 4)
O4 0.2140 0.8783 0.2304 (multiplicity 4)

DFT total energy: -88.032 eV/f.u.
Calculated density: 2.728 g cm⁻³

***

[2]
Density functional theory data (GGA+U) for K4V2O9 after structural relaxation.

Cell: 11.1764 12.5009 8.1344 Å, 90.00 90.00 90.00°
Space group Cmcm (No. 63)
Inequivalent atoms, fractional coordinates:
K1 0.0000 0.0170 0.2500 (multiplicity 4)
K2 0.0000 0.4653 0.7500 (multiplicity 4)
K3 0.2233 0.3118 0.2500 (multiplicity 8)
V1 0.0000 0.2284 0.5244 (multiplicity 8)
O1 0.0000 0.2355 0.7500 (multiplicity 4)
O2 0.0000 0.3546 0.0553 (multiplicity 8)
O3 0.1256 0.1587 0.0344 (multiplicity 16)
O4 0.2340 0.0836 0.2500 (multiplicity 8)

DFT total energy: -84.848 eV/f.u.
Calculated density: 2.351 g cm⁻³

***

[3]
Density functional theory data (GGA+U) for KV3O8 after structural relaxation.

Cell: 5.2325 5.2325 24.6144 Å, 90.00 90.00 120.00°
Space group R-3 (No. 148, hexagonal axes)
Inequivalent atoms, fractional coordinates:
K1 0.0000 0.0000 0.0000 (multiplicity 3)
V1 0.0000 0.0000 0.2335 (multiplicity 6)
V2 0.0000 0.0000 0.5000 (multiplicity 3)
O1 0.0000 0.0000 0.3009 (multiplicity 6)
O2 0.0176 0.6152 0.1221 (multiplicity 18)

Distance to the lowest polymorph of the same formula: 56 meV/atom
Calculated density: 2.731 g cm⁻³

***

[4]
Density functional theory data (GGA+U) for KV12O30 after structural relaxation.

Cell: 10.9881 10.9881 15.7660 Å, 90.00 90.00 120.00°
Space group P6/mcc (No. 192)
Inequivalent atoms, fractional coordinates:
K1 0.0000 0.0000 0.2500 (multiplicity 2)
V1 0.1024 0.3546 0.1137 (multiplicity 24)
O1 0.0714 0.2889 0.3548 (multiplicity 24)
O2 0.1074 0.3740 0.0000 (multiplicity 12)
O3 0.1445 0.5021 0.1581 (multiplicity 24)

DFT total energy: -314.625 eV/f.u.
Calculated density: 2.277 g cm⁻³

***

[5]
Density functional theory data (GGA+U) for K3VO8 after structural relaxation.

Cell: 6.8077 6.8077 7.8696 Å, 90.00 90.00 90.00°
Space group I-42m (No. 121)
Inequivalent atoms, fractional coordinates:
K1 0.0000 0.0000 0.0000 (multiplicity 2)
K2 0.0000 0.5000 0.2500 (multiplicity 4)
V1 0.0000 0.0000 0.5000 (multiplicity 2)
O1 0.1356 0.1356 0.6805 (multiplicity 8)
O2 0.2052 0.2052 0.5138 (multiplicity 8)

DFT total energy: -64.398 eV/f.u.
Calculated density: 2.698 g cm⁻³

***

[6]
Density functional theory data (GGA+U) for KV4O10 after structural relaxation.

Cell: 3.7096 11.7270 19.3647 Å, 90.00 90.00 90.00°
Space group Cmcm (No. 63)
Inequivalent atoms, fractional coordinates:
K1 0.0000 0.0811 0.2500 (multiplicity 4)
V1 0.0000 0.2689 0.5820 (multiplicity 8)
V2 0.0000 0.4362 0.0794 (multiplicity 8)
O1 0.0000 0.1005 0.5663 (multiplicity 8)
O2 0.0000 0.2605 0.0605 (multiplicity 8)
O3 0.0000 0.2919 0.6651 (multiplicity 8)
O4 0.0000 0.4196 0.5477 (multiplicity 8)
O5 0.0000 0.4549 0.1630 (multiplicity 8)

Distance to the lowest polymorph of the same formula: 0 meV/atom
Calculated density: 3.176 g cm⁻³

***

[7]
Density functional theory data (GGA+U) for K2V3O8 after structural relaxation.

Cell: 5.2762 6.8782 7.1299 Å, 111.66 101.02 105.88°
Space group P1 (No. 1)
Inequivalent atoms, fractional coordinates:
K1 0.0000 0.0000 0.0000 (multiplicity 1)
K2 0.3368 0.8748 0.4647 (multiplicity 1)
V1 0.1561 0.4881 0.8249 (multiplicity 1)
V2 0.6562 0.4250 0.9579 (multiplicity 1)
V3 0.6945 0.4186 0.3608 (multiplicity 1)
O1 0.0113 0.5310 0.5936 (multiplicity 1)
O2 0.0734 0.6414 0.0444 (multiplicity 1)
O3 0.2507 0.2622 0.8456 (multiplicity 1)
O4 0.3985 0.2885 0.3898 (multiplicity 1)
O5 0.5155 0.6407 0.8884 (multiplicity 1)
O6 0.6763 0.6293 0.2849 (multiplicity 1)
O7 0.7089 0.2393 0.1177 (multiplicity 1)
O8 0.7451 0.2653 0.7482 (multiplicity 1)

Distance to the lowest polymorph of the same formula: 75 meV/atom
Calculated density: 2.727 g cm⁻³

***

[8]
Density functional theory data (GGA+U) for KV4O10 after structural relaxation.

Cell: 3.7278 11.7067 20.2731 Å, 90.00 90.00 90.00°
Space group Cmcm (No. 63)
Inequivalent atoms, fractional coordinates:
K1 0.0000 0.1061 0.2500 (multiplicity 4)
V1 0.0000 0.2697 0.0773 (multiplicity 8)
V2 0.0000 0.4335 0.5751 (multiplicity 8)
O1 0.0000 0.1005 0.0617 (multiplicity 8)
O2 0.0000 0.2603 0.5565 (multiplicity 8)
O3 0.0000 0.2838 0.1570 (multiplicity 8)
O4 0.0000 0.4197 0.0465 (multiplicity 8)
O5 0.0000 0.4462 0.6558 (multiplicity 8)

Distance to the lowest polymorph of the same formula: 9 meV/atom
Calculated density: 3.024 g cm⁻³

***

[9]
Density functional theory data (GGA+U) for K2VO3 after structural relaxation.

Cell: 5.8895 11.7171 12.7900 Å, 90.00 90.09 90.00°
Space group C2/c (No. 15)
Inequivalent atoms, fractional coordinates:
K1 0.2500 0.1207 0.0816 (multiplicity 8)
K2 0.2501 0.1913 0.6390 (multiplicity 8)
V1 0.2498 0.0057 0.8382 (multiplicity 8)
O1 0.0000 0.0302 0.2500 (multiplicity 4)
O2 0.0000 0.4719 0.7500 (multiplicity 4)
O3 0.2480 0.1545 0.8615 (multiplicity 8)
O4 0.2490 0.4109 0.5550 (multiplicity 8)

DFT total energy: -35.857 eV/f.u.
Calculated density: 2.666 g cm⁻³

***

[10]
Density functional theory data (GGA+U) for KV2O after structural relaxation.

Cell: 9.2435 9.2435 9.2435 Å, 90.00 90.00 90.00°
Space group Fd-3m (No. 227, origin choice 2)
Inequivalent atoms, fractional coordinates:
K1 0.1250 0.1250 0.1250 (multiplicity 8)
V1 0.0000 0.0000 0.5000 (multiplicity 16)
O1 0.1250 0.1250 0.6250 (multiplicity 8)

DFT total energy: -21.204 eV/f.u.
Calculated density: 2.640 g cm⁻³

***

[11]
Density functional theory data (GGA+U) for K2V3O8 after structural relaxation.

Cell: 9.0237 9.0237 5.4884 Å, 90.00 90.00 90.00°
Space group P4bm (No. 100)
Inequivalent atoms, fractional coordinates:
K1 0.1701 0.3299 0.0000 (multiplicity 4)
V1 0.0000 0.0000 0.4590 (multiplicity 2)
V2 0.1342 0.6342 0.4666 (multiplicity 4)
O1 0.0000 0.0000 0.7582 (multiplicity 2)
O2 0.0000 0.5000 0.3474 (multiplicity 2)
O3 0.0869 0.8080 0.3530 (multiplicity 8)
O4 0.1313 0.6313 0.7703 (multiplicity 4)

Distance to the lowest polymorph of the same formula: 0 meV/atom
Calculated density: 2.668 g cm⁻³

***

[12]
Density functional theory data (GGA+U) for KVO3 after structural relaxation.

Cell: 4.2679 4.2679 4.2679 Å, 90.00 90.00 90.00°
Space group Pm-3m (No. 221)
Inequivalent atoms, fractional coordinates:
K1 0.0000 0.0000 0.0000 (multiplicity 1)
V1 0.5000 0.5000 0.5000 (multiplicity 1)
O1 0.0000 0.0000 0.5000 (multiplicity 3)

DFT total energy: -18.564 eV/f.u.
Calculated density: 2.948 g cm⁻³